10
Lattice="8.9784 -1.9429 0.0000 8.9784 1.9429 0.0000 -2.0059 0.0000 8.2445" Properties=species:S:1:pos:R:3 comment="Y4RuCl5 PBE optimized geometry" formation_energy_uncorrected_ev_per_atom=-1.582 pbc="T T T"
Y -0.3857 0.0000 1.9002
Y 4.4423 0.0000 7.5802
Y 11.5087 0.0000 0.6643
Y 16.3366 0.0000 6.3444
Ru 8.9784 0.0000 0.0000
Cl 2.4065 0.0000 2.6283
Cl 1.4712 0.0000 7.0911
Cl 7.9755 0.0000 4.1223
Cl 14.4797 0.0000 1.1534
Cl 13.5445 0.0000 5.6163